[1]
First-principles (PBE-GGA) data for crystalline Nd2HgGe at its relaxed geometry, as listed in the Alexandria database.

Properties
As for the total energy: -4.17 eV per atom. The value obtained for the formation enthalpy at 0 K is -0.558 eV per atom. For the volume, the calculation gives 123 Å³/f.u. The crystal system is trigonal.

Cell: 4.3873 4.3873 22.0573 Å, 90.00 90.00 120.00°
Last column: nearest neighbours and their distance in Å.
Space group R-3m (No. 166, hexagonal axes)
Inequivalent atoms, fractional coordinates:
Nd 0.0000 0.0000 0.2375 (multiplicity 6)  3 Ge 2.98, 3 Hg 3.30
Hg 0.0000 0.0000 0.0000 (multiplicity 3)  6 Nd 3.30
Ge 0.0000 0.0000 0.5000 (multiplicity 3)  6 Nd 2.98

=====

[2]
First-principles (PBE-GGA) data for crystalline KAg2Ir at its relaxed geometry, as listed in the Alexandria database.

Properties
As for the total energy: -3.28 eV per atom. The value obtained for the formation enthalpy at 0 K is 0.633 eV per atom. For the volume, the calculation gives 78 Å³/f.u. The crystal system is orthorhombic. The offset from the most stable computed form comes out at 160 meV/atom.

Cell: 3.0242 4.8612 10.6158 Å, 90.00 90.00 90.00°
Last column: nearest neighbours and their distance in Å.
Space group Cmmm (No. 65)
Inequivalent atoms, fractional coordinates:
K 0.0000 0.0000 0.0000 (multiplicity 2)  6 K 2.86-3.02
Ag 0.0000 0.5000 0.2759 (multiplicity 4)  2 Ir 2.82, 6 Ag 2.86-3.02
Ir 0.0000 0.0000 0.5000 (multiplicity 2)  4 Ag 2.82, 6 Ir 2.86-3.02

=====

[3]
First-principles (PBE-GGA) data for crystalline TlSnAu at its relaxed geometry, as listed in the Alexandria database.

Properties
As for the total energy: -3.25 eV per atom. The value obtained for the formation enthalpy at 0 K is -0.031 eV per atom. For the volume, the calculation gives 80 Å³/f.u. The crystal system is trigonal.

Cell: 4.6572 4.6572 4.2665 Å, 90.00 90.00 120.00°
Last column: nearest neighbours and their distance in Å.
Space group P3m1 (No. 156)
Inequivalent atoms, fractional coordinates:
Tl 0.0000 0.0000 0.0000 (multiplicity 1)  3 Au 3.09, 3 Sn 3.30
Sn 0.6667 0.3333 0.4494 (multiplicity 1)  3 Au 2.82
Au 0.3333 0.6667 0.6450 (multiplicity 1)  3 Sn 2.82, 3 Tl 3.09

=====

[4]
First-principles (PBE-GGA) data for crystalline Fe2ReSeN at its relaxed geometry, as listed in the Alexandria database.

Properties
As for the total energy: -7.80 eV per atom. The calculation puts the formation energy without anion corrections at 0.4406 eV/atom. For the volume, the calculation gives 60 Å³/f.u. The crystal system is tetragonal.

Cell: 3.8395 3.8395 4.0685 Å, 90.00 90.00 90.00°
Last column: nearest neighbours and their distance in Å.
Space group P4/mmm (No. 123)
Inequivalent atoms, fractional coordinates:
Fe 0.0000 0.5000 0.0000 (multiplicity 2)  2 N 1.92
Re 0.0000 0.0000 0.5000 (multiplicity 1)  2 N 2.03
Se 0.5000 0.5000 0.5000 (multiplicity 1)  4 Re 2.71, 8 Fe 2.80
N 0.0000 0.0000 0.0000 (multiplicity 1)  4 Fe 1.92, 2 Re 2.03

=====

[5]
First-principles (PBE-GGA) data for crystalline BiAsAu2 at its relaxed geometry, as listed in the Alexandria database.

Properties
As for the total energy: -3.73 eV per atom. The value obtained for the formation enthalpy at 0 K is 0.042 eV per atom. For the volume, the calculation gives 92 Å³/f.u. The crystal system is trigonal.

Cell: 4.0855 4.0855 19.0593 Å, 90.00 90.00 120.00°
Last column: nearest neighbours and their distance in Å.
Space group R-3m (No. 166, hexagonal axes)
Inequivalent atoms, fractional coordinates:
Bi 0.0000 0.0000 0.0000 (multiplicity 3)  6 Au 2.99
As 0.0000 0.0000 0.5000 (multiplicity 3)  6 Au 2.71
Au 0.0000 0.0000 0.2371 (multiplicity 6)  3 As 2.71, 3 Bi 2.99

=====

[6]
First-principles (PBE-GGA) data for crystalline CrSi2W at its relaxed geometry, as listed in the Alexandria database.

Properties
As for the total energy: -8.27 eV per atom. The calculation puts the formation energy without anion corrections at 0.0832 eV/atom. For the volume, the calculation gives 54 Å³/f.u. The crystal system is trigonal. The offset from the most stable computed form comes out at 345 meV/atom.

Cell: 2.7775 2.7775 24.3173 Å, 90.00 90.00 120.00°
Last column: nearest neighbours and their distance in Å.
Space group R-3m (No. 166, hexagonal axes)
Inequivalent atoms, fractional coordinates:
Cr 0.0000 0.0000 0.0000 (multiplicity 3)  6 Si 2.46
Si 0.0000 0.0000 0.2569 (multiplicity 6)  3 Cr 2.46, 3 W 2.72
W 0.0000 0.0000 0.5000 (multiplicity 3)  6 Si 2.72, 6 W 2.78

=====

[7]
First-principles (PBE-GGA) data for crystalline CsBaMgAg2 at its relaxed geometry, as listed in the Alexandria database.

Properties
As for the total energy: -1.70 eV per atom. The value obtained for the formation enthalpy at 0 K is 0.313 eV per atom. For the volume, the calculation gives 184 Å³/f.u. The crystal system is tetragonal.

Cell: 5.5199 5.5199 6.0534 Å, 90.00 90.00 90.00°
Last column: nearest neighbours and their distance in Å.
Space group P4/mmm (No. 123)
Inequivalent atoms, fractional coordinates:
Cs 0.0000 0.0000 0.0000 (multiplicity 1)  2 Mg 3.03
Ba 0.5000 0.5000 0.0000 (multiplicity 1)  4 Cs 3.90, 8 Ag 4.10
Mg 0.0000 0.0000 0.5000 (multiplicity 1)  4 Ag 2.76, 2 Cs 3.03
Ag 0.0000 0.5000 0.5000 (multiplicity 2)  2 Mg 2.76

=====

[8]
First-principles (PBE-GGA) data for crystalline Pr2SmTl2Zn2 at its relaxed geometry, as listed in the Alexandria database.

Properties
As for the total energy: -3.28 eV per atom. The value obtained for the formation enthalpy at 0 K is -0.196 eV per atom. For the volume, the calculation gives 191 Å³/f.u. The crystal system is trigonal.

Cell: 4.8032 4.8032 28.6858 Å, 90.00 90.00 120.00°
Last column: nearest neighbours and their distance in Å.
Space group R-3m (No. 166, hexagonal axes)
Inequivalent atoms, fractional coordinates:
Pr 0.0000 0.0000 0.1264 (multiplicity 6)  3 Tl 3.25, 3 Zn 3.37, 3 Pr 3.61, 1 Sm 3.62
Sm 0.0000 0.0000 0.0000 (multiplicity 3)  6 Zn 3.26, 6 Tl 3.38, 2 Pr 3.62
Tl 0.0000 0.0000 0.2662 (multiplicity 6)  3 Zn 2.78
Zn 0.0000 0.0000 0.3928 (multiplicity 6)  3 Tl 2.78

=====

[9]
First-principles (PBE-GGA) data for crystalline Nd3Mg5 at its relaxed geometry, as listed in the Alexandria database.

Properties
As for the total energy: -2.85 eV per atom. The value obtained for the formation enthalpy at 0 K is -0.062 eV per atom. For the volume, the calculation gives 226 Å³/f.u. The crystal system is cubic. The offset from the most stable computed form comes out at 20 meV/atom.

Cell: 7.6780 7.6780 7.6780 Å, 90.00 90.00 90.00°
Last column: nearest neighbours and their distance in Å.
Space group Im-3m (No. 229)
Inequivalent atoms, fractional coordinates:
Nd 0.0000 0.0000 0.5000 (multiplicity 6)  8 Mg 3.32
Mg 0.0000 0.0000 0.0000 (multiplicity 2)  8 Mg 3.32
Mg 0.2500 0.2500 0.2500 (multiplicity 8)  2 Mg 3.32, 6 Nd 3.32

=====

[10]
First-principles (PBE-GGA) data for crystalline Ce4P2C at its relaxed geometry, as listed in the Alexandria database.

Properties
As for the total energy: -6.97 eV per atom. The value obtained for the formation enthalpy at 0 K is -0.715 eV per atom. For the volume, the calculation gives 165 Å³/f.u. The crystal system is tetragonal.

Cell: 4.6930 4.6930 15.0105 Å, 90.00 90.00 90.00°
Last column: nearest neighbours and their distance in Å.
Space group I4/mmm (No. 139)
Inequivalent atoms, fractional coordinates:
Ce 0.0000 0.0000 0.1699 (multiplicity 4)  1 C 2.55
Ce 0.0000 0.5000 0.0000 (multiplicity 4)  2 C 2.35
P 0.0000 0.0000 0.3656 (multiplicity 4)  5 Ce 2.94-3.09
C 0.0000 0.0000 0.0000 (multiplicity 2)  6 Ce 2.35-2.55

=====

[11]
First-principles (PBE-GGA) data for crystalline CsTl2Sb2 at its relaxed geometry, as listed in the Alexandria database.

Properties
As for the total energy: -2.91 eV per atom. The calculation puts the formation energy without anion corrections at -0.1422 eV/atom. For the volume, the calculation gives 203 Å³/f.u. The crystal system is tetragonal. The offset from the most stable computed form comes out at 66 meV/atom.

Cell: 9.6808 9.6808 4.3223 Å, 90.00 90.00 90.00°
Last column: nearest neighbours and their distance in Å.
Space group P4/mbm (No. 127)
Inequivalent atoms, fractional coordinates:
Cs 0.0000 0.0000 0.0000 (multiplicity 2)  4 Sb 3.97, 8 Tl 4.27, 2 Cs 4.32
Tl 0.1505 0.3495 0.5000 (multiplicity 4)  4 Sb 3.31
Sb 0.1036 0.6036 0.0000 (multiplicity 4)  1 Sb 2.84

=====

[12]
First-principles (PBE-GGA) data for crystalline LaPuPb at its relaxed geometry, as listed in the Alexandria database.

Properties
As for the total energy: -7.86 eV per atom. The value obtained for the formation enthalpy at 0 K is -0.202 eV per atom. For the volume, the calculation gives 91 Å³/f.u. The crystal system is tetragonal. The offset from the most stable computed form comes out at 120 meV/atom.

Cell: 4.2558 4.2558 10.0527 Å, 90.00 90.00 90.00°
Last column: nearest neighbours and their distance in Å.
Space group I4mm (No. 107)
Inequivalent atoms, fractional coordinates:
La 0.0000 0.0000 0.0000 (multiplicity 2)  1 Pu 3.08, 4 Pb 3.39
Pu 0.0000 0.0000 0.3064 (multiplicity 2)  1 La 3.08, 4 Pb 3.37
Pb 0.0000 0.0000 0.6549 (multiplicity 2)  5 Pu 3.37-3.50, 5 La 3.39-3.47

=====

[13]
First-principles (PBE-GGA) data for crystalline K3AcHg4 at its relaxed geometry, as listed in the Alexandria database.

Properties
As for the total energy: -1.34 eV per atom. The value obtained for the formation enthalpy at 0 K is -0.264 eV per atom. For the volume, the calculation gives 292 Å³/f.u. The crystal system is tetragonal.

Cell: 4.1211 4.1211 17.1823 Å, 90.00 90.00 90.00°
Last column: nearest neighbours and their distance in Å.
Space group P4/mmm (No. 123)
Inequivalent atoms, fractional coordinates:
K 0.0000 0.0000 0.0000 (multiplicity 1)  8 Hg 3.63
K 0.0000 0.0000 0.2592 (multiplicity 2)  8 Hg 3.71, 4 K 4.12, 1 Ac 4.14
Ac 0.0000 0.0000 0.5000 (multiplicity 1)  8 Hg 3.44
Hg 0.5000 0.5000 0.1260 (multiplicity 2)  8 K 3.63-3.71
Hg 0.5000 0.5000 0.3932 (multiplicity 2)  4 Ac 3.44, 1 Hg 3.67, 4 K 3.71